Record 1
Density functional theory data (PBE) for a relaxed structure of AgBi2Pt.

Properties
calculated volume: 371.0 Å³/cell
total energy: -64.19 eV for the cell shown

Unit cell a=7.1855 b=7.1855 c=7.1855 alpha=90.00 beta=90.00 gamma=90.00
Last column: nearest neighbours and their distance in Å.
Space group F-43m (No. 216)
Inequivalent atoms, fractional coordinates:
Ag (0.0000, 0.0000, 0.0000) [4 per cell]  4 Pt 3.11, 4 Bi 3.11
Bi (0.0000, 0.0000, 0.5000) [4 per cell]  4 Bi 3.11, 4 Pt 3.11
Bi (0.2500, 0.2500, 0.2500) [4 per cell]  4 Ag 3.11, 4 Bi 3.11
Pt (0.2500, 0.2500, 0.7500) [4 per cell]  4 Bi 3.11, 4 Ag 3.11

***

Record 2
Density functional theory data (PBE) for a relaxed structure of LuTlCoW.

Properties
calculated volume: 298.4 Å³/cell
polymorph energy (0 for the lowest one): 0 meV/atom
total energy: -96.79 eV for the cell shown

Unit cell a=6.6821 b=6.6821 c=6.6821 alpha=90.00 beta=90.00 gamma=90.00
Last column: nearest neighbours and their distance in Å.
Space group F-43m (No. 216)
Inequivalent atoms, fractional coordinates:
Lu (0.0000, 0.0000, 0.0000) [4 per cell]  4 Tl 2.89, 4 W 2.89
Tl (0.2500, 0.2500, 0.2500) [4 per cell]  4 Co 2.89, 4 Lu 2.89
Co (0.0000, 0.0000, 0.5000) [4 per cell]  4 Tl 2.89, 4 W 2.89
W (0.2500, 0.2500, 0.7500) [4 per cell]  4 Co 2.89, 4 Lu 2.89

***

Record 3
Density functional theory data (PBE) for a relaxed structure of Ga2CoCu5.

Properties
calculated volume: 97.2 Å³/cell
total energy: -31.86 eV for the cell shown

Unit cell a=4.0881 b=4.0881 c=5.8159 alpha=90.00 beta=90.00 gamma=90.00
Last column: nearest neighbours and their distance in Å.
Space group P4/mmm (No. 123)
Inequivalent atoms, fractional coordinates:
Ga (0.0000, 0.0000, 0.0000) [1 per cell]  8 Cu 2.51
Ga (0.5000, 0.5000, 0.5000) [1 per cell]  8 Cu 2.51
Co (0.0000, 0.0000, 0.5000) [1 per cell]  8 Cu 2.51
Cu (0.0000, 0.5000, 0.2501) [4 per cell]  2 Co 2.51, 4 Ga 2.51, 2 Cu 2.51
Cu (0.5000, 0.5000, 0.0000) [1 per cell]  8 Cu 2.51

***

Record 4
Density functional theory data (PBE) for a relaxed structure of LaTlHgSe3.

Properties
calculated volume: 681.9 Å³/cell
polymorph energy (0 for the lowest one): 57 meV/atom
total energy: -95.02 eV for the cell shown

Unit cell a=8.5637 b=4.5391 c=17.5424 alpha=90.00 beta=90.00 gamma=90.00
Last column: nearest neighbours and their distance in Å.
Space group Pnma (No. 62)
Inequivalent atoms, fractional coordinates:
La (0.2290, 0.2500, 0.0404) [4 per cell]  7 Se 2.98-3.27
Tl (0.0617, 0.2500, 0.8003) [4 per cell]  6 Se 3.30-3.42, 2 Hg 3.62
Hg (0.0824, 0.2500, 0.3440) [4 per cell]  3 Se 2.64-2.76
Se (0.0078, 0.2500, 0.5784) [4 per cell]  2 Hg 2.76
Se (0.1245, 0.7500, 0.9428) [4 per cell]  3 La 2.98-3.04, 1 Hg 3.05
Se (0.2261, 0.2500, 0.2110) [4 per cell]  1 Hg 2.64

***

Record 5
Density functional theory data (PBE) for a relaxed structure of Tm4Al4O11.

Properties
calculated volume: 198.5 Å³/cell
total energy: -147.92 eV for the cell shown

Unit cell a=5.1041 b=5.3167 c=7.3154 alpha=89.90 beta=89.94 gamma=89.68
Last column: nearest neighbours and their distance in Å.
Space group P1 (No. 1)
Inequivalent atoms, fractional coordinates:
Tm (0.0000, 0.0000, 0.0000) [1 per cell]  6 O 2.20-2.42
Tm (0.0289, 0.1224, 0.5003) [1 per cell]  5 O 2.21-2.41
Tm (0.4968, 0.6222, 0.5068) [1 per cell]  5 O 2.20-2.43
Tm (0.5324, 0.5025, 0.0023) [1 per cell]  6 O 2.20-2.42
Al (0.0154, 0.5623, 0.2521) [1 per cell]  6 O 1.89-1.93
Al (0.0202, 0.5576, 0.7509) [1 per cell]  5 O 1.90-1.94
Al (0.5127, 0.0646, 0.7512) [1 per cell]  5 O 1.89-1.93
Al (0.5150, 0.0622, 0.2522) [1 per cell]  6 O 1.89-1.92
O (0.1108, 0.5875, 0.0016) [1 per cell]  2 Al 1.90
O (0.2157, 0.8615, 0.7028) [1 per cell]  2 Al 1.90-1.94
O (0.2169, 0.8594, 0.3006) [1 per cell]  2 Al 1.90-1.92
O (0.3149, 0.3602, 0.3048) [1 per cell]  2 Al 1.90-1.92
O (0.4193, 0.0922, 0.0010) [1 per cell]  2 Al 1.89-1.91
O (0.6063, 0.0371, 0.5024) [1 per cell]  2 Al 1.89
O (0.7152, 0.7632, 0.7997) [1 per cell]  2 Al 1.93
O (0.7170, 0.7661, 0.2011) [1 per cell]  2 Al 1.90-1.91
O (0.8138, 0.2642, 0.7992) [1 per cell]  2 Al 1.91-1.92
O (0.8157, 0.2636, 0.2017) [1 per cell]  2 Al 1.91-1.93
O (0.9196, 0.5360, 0.5010) [1 per cell]  2 Al 1.89-1.90

***

Record 6
Density functional theory data (PBE) for a relaxed structure of HfZr2Ni3As4Pd.

Properties
calculated volume: 185.0 Å³/cell
polymorph energy (0 for the lowest one): 6 meV/atom
total energy: -76.20 eV for the cell shown

Unit cell a=6.5002 b=3.8671 c=7.3604 alpha=90.00 beta=90.92 gamma=90.00
Last column: nearest neighbours and their distance in Å.
Space group Pm (No. 6)
Inequivalent atoms, fractional coordinates:
Hf (0.0000, 0.0000, 0.0000) [1 per cell]  5 As 2.61-2.79, 1 Ni 2.90
Zr (0.4459, 0.5000, 0.5180) [1 per cell]  5 As 2.76-2.82, 5 Ni 2.80-3.02
Zr (0.5085, 0.0000, 0.1387) [1 per cell]  5 As 2.74-2.89, 3 Ni 2.78-2.90, 2 Pd 2.99
Ni (0.1209, 0.0000, 0.3812) [1 per cell]  4 As 2.41-2.55
Ni (0.3379, 0.5000, 0.8845) [1 per cell]  4 As 2.45-2.50, 2 Ni 2.69
Ni (0.5922, 0.0000, 0.7699) [1 per cell]  4 As 2.37-2.53
As (0.2095, 0.0000, 0.6999) [1 per cell]  4 Ni 2.41-2.53, 1 Hf 2.61
As (0.2178, 0.5000, 0.1979) [1 per cell]  3 Ni 2.45, 1 Pd 2.58
As (0.7203, 0.5000, 0.9183) [1 per cell]  3 Ni 2.37-2.49
As (0.7442, 0.0000, 0.4729) [1 per cell]  2 Ni 2.41-2.55, 2 Pd 2.52
Pd (0.8304, 0.5000, 0.2682) [1 per cell]  4 As 2.52-2.66, 2 Ni 2.82

***

Record 7
Density functional theory data (PBE) for a relaxed structure of Dy4CCl2F3.

Properties
calculated volume: 353.9 Å³/cell
total energy: -118.67 eV for the cell shown

Unit cell a=15.1909 b=3.5402 c=6.7294 alpha=90.00 beta=102.05 gamma=90.00
Last column: nearest neighbours and their distance in Å.
Space group C2/m (No. 12)
Inequivalent atoms, fractional coordinates:
Dy (0.0223, 0.0000, 0.2706) [4 per cell]  2 C 2.42, 3 F 2.45-2.51
Dy (0.1573, 0.5000, 0.6331) [4 per cell]  1 C 2.37, 3 F 2.40-2.49
C (0.0000, 0.5000, 0.5000) [2 per cell]  6 Dy 2.37-2.42
Cl (0.1549, 0.0000, 0.9340) [4 per cell]  3 Dy 2.70-2.76
F (0.0000, 0.5000, 0.0000) [2 per cell]  4 Dy 2.51
F (0.1844, 0.0000, 0.4127) [4 per cell]  4 Dy 2.40-2.49

***

Record 8
Density functional theory data (PBE) for a relaxed structure of Pr.

Properties
calculated volume: 300.3 Å³/cell
polymorph energy (0 for the lowest one): 1445 meV/atom
energy of formation: 139 kJ per mole of atoms
total energy: -26.64 eV for the cell shown

Unit cell a=6.6965 b=6.6965 c=6.6965 alpha=90.00 beta=90.00 gamma=90.00
Last column: nearest neighbours and their distance in Å.
Space group Fd-3m (No. 227, origin choice 2)
Inequivalent atoms, fractional coordinates:
Pr (0.1250, 0.1250, 0.1250) [8 per cell]  4 Pr 2.90

***

Record 9
Density functional theory data (PBE) for a relaxed structure of TbInAu3Se4.

Properties
calculated volume: 255.5 Å³/cell
polymorph energy (0 for the lowest one): 8 meV/atom
total energy: -35.11 eV for the cell shown

Unit cell a=6.3458 b=6.3458 c=6.3458 alpha=90.00 beta=90.00 gamma=90.00
Last column: nearest neighbours and their distance in Å.
Space group P-43m (No. 215)
Inequivalent atoms, fractional coordinates:
Tb (0.0000, 0.0000, 0.0000) [1 per cell]  4 Se 2.74
In (0.5000, 0.5000, 0.5000) [1 per cell]  4 Se 2.76
Au (0.0000, 0.0000, 0.5000) [3 per cell]  4 Se 2.74
Se (0.2491, 0.2491, 0.7509) [4 per cell]  1 Tb 2.74, 3 Au 2.74, 1 In 2.76

***

Record 10
Density functional theory data (PBE) for a relaxed structure of Rb2Bi2Pt3.

Properties
calculated volume: 693.6 Å³/cell
total energy: -87.54 eV for the cell shown

Unit cell a=4.7462 b=4.7462 c=35.5519 alpha=90.00 beta=90.00 gamma=120.00
Last column: nearest neighbours and their distance in Å.
Space group R3m (No. 160, hexagonal axes)
Inequivalent atoms, fractional coordinates:
Rb (0.0000, 0.0000, 0.0000) [3 per cell]  7 Pt 3.44-3.85
Rb (0.0000, 0.0000, 0.4967) [3 per cell]  2 Pt 3.31-3.34
Bi (0.0000, 0.0000, 0.2482) [3 per cell]  6 Pt 2.76-2.77
Bi (0.0000, 0.0000, 0.7432) [3 per cell]  3 Pt 2.75
Pt (0.0000, 0.0000, 0.4037) [3 per cell]  3 Bi 2.75
Pt (0.0000, 0.0000, 0.5906) [3 per cell]  3 Bi 2.76, 3 Pt 2.84
Pt (0.0000, 0.0000, 0.9032) [3 per cell]  3 Bi 2.77, 3 Pt 2.84

***

Record 11
Density functional theory data (PBE) for a relaxed structure of AgPbSeF.

Properties
calculated volume: 744.2 Å³/cell
polymorph energy (0 for the lowest one): 117 meV/atom
total energy: -124.90 eV for the cell shown

Unit cell a=8.8127 b=17.6190 c=4.7931 alpha=90.00 beta=90.00 gamma=90.00
Last column: nearest neighbours and their distance in Å.
Space group Pbam (No. 55)
Inequivalent atoms, fractional coordinates:
Ag (0.0551, 0.0905, 0.0000) [4 per cell]  2 Se 2.53, 1 F 2.66
Ag (0.1030, 0.6417, 0.0000) [4 per cell]  2 Se 2.55, 1 F 2.59
Pb (0.2259, 0.2587, 0.5000) [4 per cell]  2 F 2.40
Pb (0.2413, 0.4877, 0.5000) [4 per cell]  2 F 2.40
Se (0.0013, 0.8722, 0.5000) [4 per cell]  2 Ag 2.53
Se (0.0129, 0.6231, 0.5000) [4 per cell]  2 Ag 2.55
F (0.2085, 0.2548, 0.0000) [4 per cell]  2 Pb 2.40, 1 Ag 2.59
F (0.2455, 0.4768, 0.0000) [4 per cell]  2 Pb 2.40, 1 Ag 2.66